Crystalline Na4VPd3O8 at its relaxed geometry. Source: Alexandria via LeMat-Bulk, functional PBE with a Hubbard U.

Calculated values
- Calculated total energy: -87.1 eV for the cell shown
- SG: C2/m, No. 12

a = 6.031 Å, b = 6.076 Å, c = 7.088 Å
α = 119.42°, β = 115.18°, γ = 90.00°
Fractional positions:
Na1 0.500 0.000 0.000
Na2 0.500 0.000 0.500
Na3 0.000 0.000 0.000
Na4 0.000 0.000 0.500
V1 0.000 0.500 0.000
Pd1 0.500 0.500 0.000
Pd2 0.500 0.500 0.500
Pd3 0.000 0.500 0.500
O1 0.276 0.750 0.072
O2 0.182 0.620 0.364
O3 0.311 0.370 0.622
O4 0.797 0.750 0.072
O5 0.203 0.250 0.928
O6 0.689 0.630 0.378
O7 0.818 0.380 0.636
O8 0.724 0.250 0.928